The following is a DFT calculation (PBE-GGA) of a relaxed Li2Te4Pb3 crystal.

E_form (uncorrected)	-563	meV/atom
symmetry	C2/m, No. 12
crystal system	monoclinic

Cell: 7.854 7.854 10.328 Å, 126.24 126.24 34.06°
Positions (direct):
Li1 0.184 0.184 0.367
Li2 0.816 0.816 0.633
Te1 0.187 0.187 0.097
Te2 0.419 0.419 0.622
Te3 0.581 0.581 0.378
Te4 0.813 0.813 0.903
Pb1 0.113 0.113 0.743
Pb2 0.500 0.500 0.000
Pb3 0.887 0.887 0.257



The following is a DFT calculation (PBE-GGA) of a relaxed NaMg2TlH crystal.

electronic total energy	-0.0754	hartree per atom
symmetry	P4/mmm, No. 123
crystal system	tetragonal
N(E_F)	0.35	states/eV per atom

Cell: 4.610 4.610 4.521 Å, 90.00 90.00 90.00°
Positions (direct):
Na1 0.000 0.000 0.000
Mg1 0.000 0.500 0.500
Mg2 0.500 0.000 0.500
Tl1 0.500 0.500 0.000
H1 0.000 0.000 0.500



The following is a DFT calculation (PBE-GGA) of a relaxed Ba2SrRhPb crystal.

ΔH_f (0 K)	-1.28	eV/f.u.
symmetry	P4/mmm, No. 123
crystal system	tetragonal
N(E_F)	1.19	states/eV per atom

Cell: 5.884 5.884 5.803 Å, 90.00 90.00 90.00°
Positions (direct):
Ba1 0.000 0.500 0.000
Ba2 0.500 0.000 0.000
Sr1 0.000 0.000 0.500
Rh1 0.000 0.000 0.000
Pb1 0.500 0.500 0.500



The following is a DFT calculation (PBE-GGA) of a relaxed CePrHo2Tm crystal.

ΔH_f (0 K)	1.41	eV/f.u.
symmetry	Pmma, No. 51
crystal system	orthorhombic
N(E_F)	1.94	states/eV per atom

Cell: 5.850 7.726 7.242 Å, 90.00 90.00 90.00°
Positions (direct):
Ce1 0.000 0.000 0.000
Ce2 0.500 0.000 0.000
Pr1 0.250 0.500 0.165
Pr2 0.750 0.500 0.835
Ho1 0.250 0.289 0.676
Ho2 0.250 0.711 0.676
Ho3 0.750 0.289 0.324
Ho4 0.750 0.711 0.324
Tm1 0.250 0.000 0.385
Tm2 0.750 0.000 0.615



The following is a DFT calculation (PBE-GGA) of a relaxed Na5Al2H12 crystal.

electronic total energy	-0.1066	hartree per atom
symmetry	C2/m, No. 12
crystal system	monoclinic
N(E_F)	0.12	states/eV per atom

Cell: 6.593 6.593 7.212 Å, 103.54 103.54 49.52°
Positions (direct):
Na1 0.000 0.000 0.000
Na2 0.299 0.299 0.672
Na3 0.309 0.309 0.147
Na4 0.691 0.691 0.853
Na5 0.701 0.701 0.328
Al1 0.247 0.753 0.500
Al2 0.753 0.247 0.500
H1 0.000 0.000 0.340
H2 0.000 0.000 0.660
H3 0.093 0.597 0.927
H4 0.114 0.596 0.437
H5 0.403 0.907 0.073
H6 0.404 0.886 0.563
H7 0.499 0.499 0.660
H8 0.501 0.501 0.340
H9 0.596 0.114 0.437
H10 0.597 0.093 0.927
H11 0.886 0.404 0.563
H12 0.907 0.403 0.073



The following is a DFT calculation (PBE-GGA) of a relaxed YAs2Os crystal.

ΔH_f (0 K)	-1.48	eV/f.u.
symmetry	Imm2, No. 44
crystal system	orthorhombic
N(E_F)	0.43	states/eV per atom

Cell: 3.224 3.882 12.452 Å, 90.00 90.00 90.00°
Positions (direct):
Y1 0.000 0.000 0.000
Y2 0.500 0.500 0.500
As1 0.000 0.000 0.607
As2 0.000 0.500 0.828
As3 0.500 0.000 0.328
As4 0.500 0.500 0.107
Os1 0.000 0.500 0.261
Os2 0.500 0.000 0.761



The following is a DFT calculation (PBE-GGA) of a relaxed Nd3In4 crystal.

ΔH_f (0 K)	-2.20	eV/f.u.
symmetry	R-3m, No. 166
crystal system	trigonal
N(E_F)	0.56	states/eV per atom

Cell: 9.486 9.486 9.486 Å, 32.63 32.63 32.63°
Positions (direct):
Nd1 0.000 0.000 0.000
Nd2 0.244 0.244 0.244
Nd3 0.756 0.756 0.756
In1 0.126 0.126 0.126
In2 0.379 0.379 0.379
In3 0.621 0.621 0.621
In4 0.874 0.874 0.874



The following is a DFT calculation (PBE-GGA) of a relaxed Hg2Bi3Pb4 crystal.

ΔH_f (0 K)	0.19	eV/f.u.
symmetry	C2/m, No. 12
crystal system	monoclinic
N(E_F)	0.45	states/eV per atom

Cell: 5.823 5.823 10.621 Å, 99.71 99.71 51.44°
Positions (direct):
Hg1 0.169 0.169 0.219
Hg2 0.831 0.831 0.781
Bi1 0.168 0.168 0.564
Bi2 0.500 0.500 0.000
Bi3 0.832 0.832 0.436
Pb1 0.168 0.168 0.883
Pb2 0.492 0.492 0.670
Pb3 0.508 0.508 0.330
Pb4 0.832 0.832 0.117



The following is a DFT calculation (PBE-GGA) of a relaxed Cd2W crystal.

ΔH_f (0 K)	1.54	eV/f.u.
symmetry	P-3m1, No. 164
crystal system	trigonal
N(E_F)	0.58	states/eV per atom

Cell: 2.943 2.943 7.564 Å, 90.00 90.00 120.00°
Positions (direct):
Cd1 0.333 0.667 0.177
Cd2 0.667 0.333 0.823
W1 0.000 0.000 0.500



The following is a DFT calculation (PBE-GGA) of a relaxed Ce11In9Ir4 crystal.

ΔH_f (0 K)	-13.62	eV/f.u.
symmetry	Cmmm, No. 65
crystal system	orthorhombic
N(E_F)	2.05	states/eV per atom

Cell: 13.114 13.114 3.776 Å, 90.00 90.00 110.56°
Positions (direct):
Ce1 0.000 0.000 0.000
Ce2 0.073 0.426 0.000
Ce3 0.150 0.850 0.000
Ce4 0.315 0.315 0.000
Ce5 0.372 0.628 0.000
Ce6 0.426 0.073 0.000
Ce7 0.574 0.927 0.000
Ce8 0.628 0.372 0.000
Ce9 0.685 0.685 0.000
Ce10 0.850 0.150 0.000
Ce11 0.927 0.574 0.000
In1 0.081 0.224 0.500
In2 0.159 0.641 0.500
In3 0.224 0.081 0.500
In4 0.359 0.841 0.500
In5 0.500 0.500 0.500
In6 0.641 0.159 0.500
In7 0.776 0.919 0.500
In8 0.841 0.359 0.500
In9 0.919 0.776 0.500
Ir1 0.245 0.450 0.500
Ir2 0.450 0.245 0.500
Ir3 0.550 0.755 0.500
Ir4 0.755 0.550 0.500



The following is a DFT calculation (PBE-GGA) of a relaxed Mg2NiP3 crystal.

ΔH_f (0 K)	2.11	eV/f.u.
symmetry	P6/mmm, No. 191
crystal system	hexagonal
N(E_F)	1.01	states/eV per atom

Cell: 4.949 4.949 4.749 Å, 90.00 90.00 120.00°
Positions (direct):
Mg1 0.333 0.667 0.000
Mg2 0.667 0.333 0.000
Ni1 0.000 0.000 0.000
P1 0.000 0.500 0.500
P2 0.500 0.000 0.500
P3 0.500 0.500 0.500



The following is a DFT calculation (PBE-GGA) of a relaxed ErTmIrPb crystal.

ΔH_f (0 K)	-2.82	eV/f.u.
symmetry	P4mm, No. 99
crystal system	tetragonal
N(E_F)	0.27	states/eV per atom

Cell: 3.465 3.465 7.948 Å, 90.00 90.00 90.00°
Positions (direct):
Er1 0.000 0.000 0.000
Tm1 0.000 0.000 0.593
Ir1 0.500 0.500 0.795
Pb1 0.500 0.500 0.298